Pa2FeAs2N2 | PBE | relaxed

Properties
total energy = -8.58 eV per atom
SG = I4/mmm (139)
ΔE_f (raw) = -946 meV per atom

Cell lengths 3.889, 3.889, 14.753 Å; angles 90.00, 90.00, 90.00 degrees
Sites, in units of the cell vectors:
1 Pa 0.000 0.000 0.108
2 Pa 0.000 0.000 0.892
3 Pa 0.500 0.500 0.392
4 Pa 0.500 0.500 0.608
5 Fe 0.000 0.000 0.500
6 Fe 0.500 0.500 0.000
7 As 0.000 0.000 0.320
8 As 0.000 0.000 0.680
9 As 0.500 0.500 0.180
10 As 0.500 0.500 0.820
11 N 0.000 0.500 0.000
12 N 0.000 0.500 0.500
13 N 0.500 0.000 0.000
14 N 0.500 0.000 0.500